The following is a GGA-PBE calculation of a relaxed NaAcPmSe3 crystal, from Alexandria.

Magnetization   0.00 μB/cell
Energy   -60.4 eV for the cell shown
Density of states at the Fermi level   5.98 states/eV per cell
SG   P2_1/m

abc: 4.284 8.718 9.492
angles: 105.53 90.00 90.00
Sites, in units of the cell vectors:
Pm (0.250, 0.664, 0.149)
Pm (0.750, 0.336, 0.851)
Se (0.250, 0.559, 0.827)
Se (0.750, 0.441, 0.173)
Se (0.250, 0.096, 0.878)
Se (0.750, 0.904, 0.122)
Se (0.250, 0.754, 0.505)
Se (0.750, 0.246, 0.495)
Na (0.750, 0.901, 0.412)
Na (0.250, 0.099, 0.588)
Ac (0.750, 0.799, 0.772)
Ac (0.250, 0.201, 0.228)